# Co3IrS PBE relaxed
# energy: -5.41 eV per atom
# ΔE to the lowest computed polymorph: 22.17 kcal/mol of atoms
data_Co3IrS
_cell_length_a 4.596
_cell_length_b 4.596
_cell_length_c 4.596
_cell_angle_alpha 90.00
_cell_angle_beta 90.00
_cell_angle_gamma 90.00
_symmetry_space_group_name_H-M 'P m -3 m'
_symmetry_Int_Tables_number 221
_symmetry_space_group_name_Hall '-P 4 2 3'
loop_
_atom_site_label
_atom_site_fract_x
_atom_site_fract_y
_atom_site_fract_z
Co1 0.000 0.000 0.500
Ir1 0.000 0.000 0.000
S1 0.500 0.500 0.500

# ThSiRh PBE relaxed
# energy: -7.69 eV per atom
data_ThSiRh
_cell_length_a 4.3007
_cell_length_b 4.3007
_cell_length_c 3.8755
_cell_angle_alpha 90.00
_cell_angle_beta 90.00
_cell_angle_gamma 120.00
_symmetry_space_group_name_H-M 'P -6 m 2'
_symmetry_Int_Tables_number 187
_symmetry_space_group_name_Hall 'P -6 2'
loop_
_atom_site_label
_atom_site_fract_x
_atom_site_fract_y
_atom_site_fract_z
Th1 0.0000 0.0000 0.0000
Si1 0.3333 0.6667 0.5000
Rh1 0.6667 0.3333 0.5000

Number 1: formation energy from raw total energies 1.454 eV/atom. Number 2: formation energy from raw total energies -0.959 eV/atom.